GGA+U PmCdCoO4, optimized geometry; DFT total energy = -6.170 eV/atom; crystal system = orthorhombic
1.0
3.043 -4.776 0.000
3.043 4.776 0.000
0.000 0.000 7.147
Pm Cd Co O
2 2 2 8
Direct
0.000 0.000 0.000
0.000 0.000 0.500
0.337 0.663 0.750
0.663 0.337 0.250
0.344 0.656 0.250
0.656 0.344 0.750
0.235 0.276 0.250
0.246 0.754 0.033
0.246 0.754 0.467
0.276 0.235 0.750
0.724 0.765 0.250
0.754 0.246 0.533
0.754 0.246 0.967
0.765 0.724 0.750